1.
Entry from Alexandria: a relaxed structure of W2IF (GGA+U).

Cell and atoms, written as CIF:
```
data_W2IF
_chemical_formula_sum 'W8 I4 F4'
_symmetry_space_group_name_H-M 'I -4 2 d'
_symmetry_Int_Tables_number 122
_symmetry_space_group_name_Hall 'I -4 2bw'
_cell_length_a 4.2066
_cell_length_b 4.2066
_cell_length_c 19.6183
_cell_angle_alpha 90.00
_cell_angle_beta 90.00
_cell_angle_gamma 90.00
loop_
_atom_site_label
_atom_site_fract_x
_atom_site_fract_y
_atom_site_fract_z
W1 0.2494 0.2500 0.1250
I1 0.0000 0.0000 0.5000
F1 0.0000 0.0000 0.0000
```

Output
Offset from the most stable computed form = 0.00 eV/f.u.

2.
Entry from Alexandria: a relaxed structure of WIF2 (GGA+U).

Cell and atoms, written as CIF:
```
data_WIF2
_chemical_formula_sum 'W4 I4 F8'
_symmetry_space_group_name_H-M 'F m -3 m'
_symmetry_Int_Tables_number 225
_symmetry_space_group_name_Hall '-F 4 2 3'
_cell_length_a 6.4971
_cell_length_b 6.4971
_cell_length_c 6.4971
_cell_angle_alpha 90.00
_cell_angle_beta 90.00
_cell_angle_gamma 90.00
loop_
_atom_site_label
_atom_site_fract_x
_atom_site_fract_y
_atom_site_fract_z
W1 0.0000 0.0000 0.0000
I1 0.0000 0.0000 0.5000
F1 0.2500 0.2500 0.2500
```

Output
Offset from the most stable computed form = 3.00 eV/f.u.

3.
Entry from Alexandria: a relaxed structure of WI2F2 (GGA+U).

Cell and atoms, written as CIF:
```
data_WI2F2
_chemical_formula_sum 'W2 I4 F4'
_symmetry_space_group_name_H-M 'P 4/m b m'
_symmetry_Int_Tables_number 127
_symmetry_space_group_name_Hall '-P 4 2ab'
_cell_length_a 6.1470
_cell_length_b 6.1470
_cell_length_c 7.6005
_cell_angle_alpha 90.00
_cell_angle_beta 90.00
_cell_angle_gamma 90.00
loop_
_atom_site_label
_atom_site_fract_x
_atom_site_fract_y
_atom_site_fract_z
W1 0.0000 0.0000 0.0000
I1 0.1910 0.3090 0.5000
F1 0.2433 0.7433 0.0000
```

Output
Offset from the most stable computed form = 0.00 eV/f.u.

4.
Entry from Alexandria: a relaxed structure of WI3F (GGA+U).

Cell and atoms, written as CIF:
```
data_WI3F
_chemical_formula_sum 'W1 I3 F1'
_symmetry_space_group_name_H-M 'P m -3 m'
_symmetry_Int_Tables_number 221
_symmetry_space_group_name_Hall '-P 4 2 3'
_cell_length_a 5.6798
_cell_length_b 5.6798
_cell_length_c 5.6798
_cell_angle_alpha 90.00
_cell_angle_beta 90.00
_cell_angle_gamma 90.00
loop_
_atom_site_label
_atom_site_fract_x
_atom_site_fract_y
_atom_site_fract_z
W1 0.0000 0.0000 0.0000
I1 0.0000 0.0000 0.5000
F1 0.5000 0.5000 0.5000
```

Output
Offset from the most stable computed form = 0.00 eV/f.u.

no.,total magnetization (μB per formula unit)
1,5.142
2,3.000
3,3.939
4,2.374